Entry 1:
Compound: Ho8Co3Rh2
Source: Alexandria
Functional: PBE-GGA
Structure: relaxed

The structure belongs to space group P2/m (No. 10); the cell edges are 8.2039, 4.7039 and 8.2188 Å and the angles 90.00°, 109.93° and 90.00°. The distinct sites, in fractional coordinates, are Ho at (0.1209, 0.0000, 0.3799), Ho at (0.1302, 0.5000, 0.8713), Ho at (0.3720, 0.5000, 0.6308), Ho at (0.3780, 0.0000, 0.1212), Co at (0.2543, 0.0000, 0.7542), Co at (0.5000, 0.5000, 0.0000) and Rh at (0.2502, 0.5000, 0.2496).

Its electronic total energy is -77.55 eV per cell. As for the formation energy: -0.3776 eV/atom. The total magnetization comes out at 0.00 μB per formula unit.

=====

Entry 2:
Compound: DyEr4Os2
Source: Alexandria
Functional: PBE-GGA
Structure: relaxed

The structure belongs to space group P2_1/m (No. 11); the cell edges are 7.7423, 6.2280 and 7.8841 Å and the angles 90.00°, 112.21° and 90.00°. The distinct sites, in fractional coordinates, are Dy at (0.0260, 0.2500, 0.1600), Er at (0.2398, 0.5013, 0.5808), Er at (0.3271, 0.7500, 0.2513), Er at (0.3804, 0.2500, 0.0196), Os at (0.0256, 0.2500, 0.7441) and Os at (0.4146, 0.2500, 0.3758).

Its electronic total energy is -93.56 eV per cell. As for the formation energy: -0.2099 eV/atom. The total magnetization comes out at 0.00 μB per formula unit.

=====

Entry 3:
Compound: PaBP2N6
Source: Alexandria
Functional: PBE-GGA
Structure: relaxed

The structure belongs to space group C2/c (No. 15); the cell edges are 10.0242, 8.5284 and 5.6544 Å and the angles 90.00°, 118.67° and 90.00°. The distinct sites, in fractional coordinates, are Pa at (0.0000, 0.1697, 0.2500), B at (0.0000, 0.1966, 0.7500), P at (0.2058, 0.4277, 0.1566), N at (0.0984, 0.2814, 0.0101), N at (0.1085, 0.0888, 0.6934) and N at (0.1741, 0.4297, 0.4303).

Its electronic total energy is -339.11 eV per cell. The value obtained for the energy relative to the elements, uncorrected is -7.8 eV/f.u. The total magnetization comes out at 0.00 μB per formula unit.

=====

Entry 4:
Compound: CePm2Dy
Source: Alexandria
Functional: PBE-GGA
Structure: relaxed

The structure belongs to space group Fm-3m (No. 225); the cell edges are 8.1142, 8.1142 and 8.1142 Å and the angles 90.00°, 90.00° and 90.00°. The distinct sites, in fractional coordinates, are Ce at (0.0000, 0.0000, 0.0000), Pm at (0.2500, 0.2500, 0.2500) and Dy at (0.0000, 0.0000, 0.5000).

The energy relative to the lowest polymorph listed for this composition comes out at 0.53 eV per formula unit. Its electronic total energy is -76.98 eV per cell. As for the formation energy: 0.1982 eV/atom. The total magnetization comes out at 3.26 μB per formula unit.

=====

Entry 5:
Compound: HoMnNi2
Source: Alexandria
Functional: PBE-GGA
Structure: relaxed

The structure belongs to space group R3m (No. 160, hexagonal axes); the cell edges are 5.1020, 5.1020 and 24.2195 Å and the angles 90.00°, 90.00° and 120.00°. The distinct sites, in fractional coordinates, are Ho at (0.0000, 0.0000, 0.0000), Ho at (0.0000, 0.0000, 0.1291), Ho at (0.0000, 0.0000, 0.6123), Mn at (0.0000, 0.0000, 0.3111), Mn at (0.0000, 0.0000, 0.4880), Mn at (0.0000, 0.0000, 0.8110), Ni at (0.0010, 0.5005, 0.0616) and Ni at (0.0026, 0.5013, 0.5603).

Its electronic total energy is -237.97 eV per cell. As for the formation energy: -0.2829 eV/atom. The total magnetization comes out at 3.89 μB per formula unit.

=====

Entry 6:
Compound: Tm7Tc2Ag2
Source: Alexandria
Functional: PBE-GGA
Structure: relaxed

The structure belongs to space group Imm2 (No. 44); the cell edges are 4.1183, 14.5387 and 9.0685 Å and the angles 90.00°, 90.00° and 90.00°. The distinct sites, in fractional coordinates, are Tm at (0.0000, 0.0000, 0.0000), Tm at (0.0000, 0.1332, 0.5837), Tm at (0.0000, 0.3198, 0.3757), Tm at (0.0000, 0.3529, 0.7546), Tc at (0.0000, 0.2261, 0.0760), Ag at (0.0000, 0.0000, 0.3296) and Ag at (0.0000, 0.5000, 0.2244).

Its electronic total energy is -119.47 eV per cell. As for the formation energy: -0.1817 eV/atom. The total magnetization comes out at 0.00 μB per formula unit.